# SnP2RhS

A geometry-optimized SnP2RhS structure (GGA-PBE, the Alexandria database).

Cell lengths 4.9423, 4.9423, 4.8711 Å; angles 90.00, 90.00, 90.00 degrees
Sites, in units of the cell vectors:
Sn: 0.0000 0.0000 0.0000
P: 0.0000 0.5000 0.0000
P: 0.5000 0.0000 0.0000
Rh: 0.5000 0.5000 0.5000
S: 0.0000 0.0000 0.5000

Results
Formation energy (no corrections)   671 kJ/mol of formula units
Magnetization   0.592 μB per formula unit
Excess energy over the best structure of this formula in the dataset   1049 meV per atom



# MgMn2Pt

A geometry-optimized MgMn2Pt structure (GGA-PBE, the Alexandria database).

Cell lengths 5.2593, 5.2593, 2.7864 Å; angles 101.97, 101.97, 119.04 degrees
Sites, in units of the cell vectors:
Mg: 0.0000 0.0000 0.0000
Mn: 0.0000 0.5000 0.5000
Mn: 0.5000 0.0000 0.5000
Pt: 0.5000 0.5000 0.0000

Results
DFT formation energy   -0.0369 eV/atom
Magnetization   7.200 μB per formula unit



# Tb5SmSe6

A geometry-optimized Tb5SmSe6 structure (GGA-PBE, the Alexandria database).

Cell lengths 7.1280, 7.1280, 7.1013 Å; angles 99.64, 99.64, 120.11 degrees
Sites, in units of the cell vectors:
Tb: 0.0000 0.0000 0.0000
Tb: 0.1660 0.8340 0.5000
Tb: 0.3369 0.6631 0.0000
Tb: 0.6631 0.3369 0.0000
Tb: 0.8340 0.1660 0.5000
Sm: 0.5000 0.5000 0.5000
Se: 0.0774 0.4158 0.2468
Se: 0.2455 0.2455 0.7505
Se: 0.4158 0.0774 0.2468
Se: 0.5842 0.9226 0.7532
Se: 0.7545 0.7545 0.2495
Se: 0.9226 0.5842 0.7532

Results
Formation energy (no corrections)   -2063 kJ/mol of formula units
Magnetization   0.000 μB per formula unit



# PmHo2Bi

A geometry-optimized PmHo2Bi structure (GGA-PBE, the Alexandria database).

Cell lengths 11.7640, 11.7640, 4.6300 Å; angles 90.00, 90.00, 157.16 degrees
Sites, in units of the cell vectors:
Pm: 0.1933 0.8067 0.7500
Pm: 0.8067 0.1933 0.2500
Ho: 0.0581 0.9419 0.2500
Ho: 0.4420 0.5580 0.2500
Ho: 0.5580 0.4420 0.7500
Ho: 0.9419 0.0581 0.7500
Bi: 0.3358 0.6642 0.7500
Bi: 0.6642 0.3358 0.2500

Results
DFT formation energy   -0.4567 eV/atom
Magnetization   0.001 μB per formula unit
Excess energy over the best structure of this formula in the dataset   0 meV per atom



# La2LuMg

A geometry-optimized La2LuMg structure (GGA-PBE, the Alexandria database).

Cell lengths 3.8554, 3.8554, 8.7239 Å; angles 90.00, 90.00, 90.00 degrees
Sites, in units of the cell vectors:
La: 0.0000 0.0000 0.2362
La: 0.0000 0.0000 0.7638
Lu: 0.5000 0.5000 0.5000
Mg: 0.5000 0.5000 0.0000

Results
DFT formation energy   -0.0199 eV/atom
Magnetization   0.023 μB per formula unit
Excess energy over the best structure of this formula in the dataset   0 meV per atom



# V4Co5B2

A geometry-optimized V4Co5B2 structure (GGA-PBE, the Alexandria database).

Cell lengths 5.7175, 2.8643, 7.1912 Å; angles 90.00, 96.29, 90.00 degrees
Sites, in units of the cell vectors:
V: 0.1862 0.0000 0.3469
V: 0.2288 0.0000 0.9360
V: 0.7712 0.0000 0.0640
V: 0.8138 0.0000 0.6531
Co: 0.1534 0.5000 0.6488
Co: 0.4472 0.5000 0.1703
Co: 0.5000 0.5000 0.5000
Co: 0.5528 0.5000 0.8297
Co: 0.8466 0.5000 0.3512
B: 0.0665 0.5000 0.1183
B: 0.9335 0.5000 0.8817

Results
DFT formation energy   -0.2555 eV/atom
Magnetization   0.003 μB per formula unit



# VFe2H

A geometry-optimized VFe2H structure (GGA-PBE, the Alexandria database).

Cell lengths 4.7670, 4.7670, 4.7670 Å; angles 118.14, 118.14, 93.25 degrees
Sites, in units of the cell vectors:
V: 0.0000 0.0000 0.0000
V: 0.7500 0.2500 0.5000
Fe: 0.2697 0.1250 0.6447
Fe: 0.3750 0.7303 0.8553
Fe: 0.4803 0.6250 0.3553
Fe: 0.8750 0.5197 0.1447
H: 0.2500 0.7500 0.5000
H: 0.5000 0.5000 0.0000

Results
Magnetization   1.103 μB per formula unit
Excess energy over the best structure of this formula in the dataset   289 meV per atom



# Li2TbUS4

A geometry-optimized Li2TbUS4 structure (GGA-PBE, the Alexandria database).

Cell lengths 6.6114, 3.8976, 6.7701 Å; angles 90.00, 109.91, 90.00 degrees
Sites, in units of the cell vectors:
Li: 0.0000 0.0000 0.0000
Li: 0.0000 0.5000 0.5000
Tb: 0.5000 0.0000 0.5000
U: 0.5000 0.5000 0.0000
S: 0.2449 0.0000 0.7489
S: 0.2458 0.5000 0.2470
S: 0.7542 0.5000 0.7530
S: 0.7551 0.0000 0.2511

Results
Formation energy (no corrections)   -1221 kJ/mol of formula units
Magnetization   2.983 μB per formula unit



# BaH2I4

A geometry-optimized BaH2I4 structure (GGA-PBE, the Alexandria database).

Cell lengths 9.5678, 9.5678, 9.5829 Å; angles 100.46, 100.46, 129.51 degrees
Sites, in units of the cell vectors:
Ba: 0.1249 0.8751 0.5000
Ba: 0.8751 0.1249 0.0000
H: 0.4196 0.8915 0.2137
H: 0.4275 0.4557 0.7858
H: 0.4557 0.4275 0.2858
H: 0.8915 0.4196 0.7137
I: 0.1219 0.6253 0.7362
I: 0.1376 0.6087 0.2142
I: 0.1447 0.1731 0.7858
I: 0.1731 0.1447 0.2858
I: 0.6087 0.1376 0.7142
I: 0.6253 0.1219 0.2362
I: 0.6353 0.6393 0.7632
I: 0.6393 0.6353 0.2632

Results
Magnetization   0.000 μB per formula unit



# CoW2Cl

A geometry-optimized CoW2Cl structure (GGA-PBE, the Alexandria database).

Cell lengths 2.7499, 3.2959, 6.8904 Å; angles 90.00, 90.00, 90.00 degrees
Sites, in units of the cell vectors:
Co: 0.0000 0.0000 0.0000
W: 0.5000 0.5000 0.2013
W: 0.5000 0.5000 0.7987
Cl: 0.5000 0.0000 0.5000

Results
Formation energy (no corrections)   200 kJ/mol of formula units
Magnetization   0.727 μB per formula unit
Excess energy over the best structure of this formula in the dataset   143 meV per atom



# BaPt8Pb3

A geometry-optimized BaPt8Pb3 structure (GGA-PBE, the Alexandria database).

Cell lengths 9.6363, 9.6363, 9.6363 Å; angles 33.47, 33.47, 33.47 degrees
Sites, in units of the cell vectors:
Ba: 0.0000 0.0000 0.0000
Pt: 0.1870 0.1870 0.1870
Pt: 0.4355 0.4355 0.9355
Pt: 0.4355 0.9355 0.4355
Pt: 0.4416 0.9375 0.9375
Pt: 0.6874 0.6874 0.6874
Pt: 0.9355 0.4355 0.4355
Pt: 0.9375 0.4416 0.9375
Pt: 0.9375 0.9375 0.4416
Pb: 0.3840 0.3840 0.3840
Pb: 0.5054 0.5054 0.5054
Pb: 0.8731 0.8731 0.8731

Results
DFT formation energy   -0.3174 eV/atom
Magnetization   0.000 μB per formula unit



# NaSbAsAu2

A geometry-optimized NaSbAsAu2 structure (GGA-PBE, the Alexandria database).

Cell lengths 4.9441, 4.9441, 5.0296 Å; angles 90.00, 90.00, 90.00 degrees
Sites, in units of the cell vectors:
Na: 0.0000 0.0000 0.0000
Sb: 0.5000 0.5000 0.5000
As: 0.0000 0.0000 0.5000
Au: 0.0000 0.5000 0.0000
Au: 0.5000 0.0000 0.0000

Results
Formation energy (no corrections)   391 kJ/mol of formula units
Magnetization   0.000 μB per formula unit



| no. | total energy (eV/cell) |
| --- | --- |
| 1 | -19.34 |
| 2 | -26.12 |
| 3 | -70.16 |
| 4 | -39.23 |
| 5 | -16.05 |
| 6 | -88.17 |
| 7 | -56.87 |
| 8 | -48.91 |
| 9 | -39.60 |
| 10 | -32.78 |
| 11 | -65.18 |
| 12 | -12.59 |